# LaPm4Sm, optimized geometry, DFT PBE
data_LaPm4Sm
_symmetry_space_group_name_H-M 'P 1 2/m 1'
_symmetry_Int_Tables_number 10
_cell_length_a 5.163
_cell_length_b 3.676
_cell_length_c 11.039
_cell_angle_alpha 90.00
_cell_angle_beta 90.05
_cell_angle_gamma 90.00
loop_
_symmetry_equiv_pos_as_xyz
'x,y,z'
'-x,-y,-z'
'-x,y,-z'
'x,-y,z'
loop_
_atom_site_label
_atom_site_type_symbol
_atom_site_fract_x
_atom_site_fract_y
_atom_site_fract_z
La1 La 0.000 0.000 0.000
Pm1 Pm 0.000 0.000 0.335
Pm2 Pm 0.500 0.500 0.170
Sm1 Sm 0.500 0.500 0.500
# energy relative to the elements = 0.019 eV/atom
# energy = -4.756 eV/atom
# mass density = 6.89 g/cm³
# energy above the most stable polymorph in this dataset = 0.0020 eV per atom